[1]
Entry from the Alexandria database: a geometry-optimized Sc2Cd3Pd2 structure (PBE).

Values from the calculation:
Symmetry   C2/m
DFT formation energy   -487 meV/atom

Cell lengths 3.7922, 5.2162, 7.7586 Å; angles 93.25, 90.00, 111.32 degrees
Atoms (fractional coordinates):
Pd1 0.9022 0.8044 0.3694
Pd2 0.0978 0.1956 0.6306
Cd1 0.2960 0.5919 0.1391
Cd2 0.0000 0.0000 0.0000
Cd3 0.7040 0.4081 0.8609
Sc1 0.3825 0.7649 0.6415
Sc2 0.6175 0.2351 0.3585

[2]
Entry from the Alexandria database: a geometry-optimized GdCdInIr structure (PBE).

Values from the calculation:
Symmetry   F-43m
DFT formation energy   -309 meV/atom

Cell lengths 4.9208, 4.9208, 4.9208 Å; angles 60.00, 60.00, 60.00 degrees
Atoms (fractional coordinates):
Gd1 0.0000 0.0000 0.0000
Cd1 0.2500 0.2500 0.2500
Ir1 0.7500 0.7500 0.7500
In1 0.5000 0.5000 0.5000

[3]
Entry from the Alexandria database: a geometry-optimized Y3AuSe structure (PBE).

Values from the calculation:
Formation energy (no corrections)   -0.50 eV per atom
Symmetry   Pm-3m
Energy above the lowest structure with this stoichiometry   2.468 eV per formula unit

Cell lengths 5.2808, 5.2808, 5.2808 Å; angles 90.00, 90.00, 90.00 degrees
Atoms (fractional coordinates):
Y1 0.5000 0.0000 0.0000
Y2 0.0000 0.5000 0.0000
Y3 0.0000 0.0000 0.5000
Au1 0.5000 0.5000 0.5000
Se1 0.0000 0.0000 0.0000

[4]
Entry from the Alexandria database: a geometry-optimized LaFeMo3 structure (PBE).

Values from the calculation:
Symmetry   Pm-3m
DFT formation energy   823 meV/atom
Energy above the lowest structure with this stoichiometry   0.000 eV per formula unit

Cell lengths 4.6357, 4.6357, 4.6357 Å; angles 90.00, 90.00, 90.00 degrees
Atoms (fractional coordinates):
Fe1 0.0000 0.0000 0.0000
Mo1 0.0000 0.0000 0.5000
Mo2 0.5000 0.0000 0.0000
Mo3 0.0000 0.5000 0.0000
La1 0.5000 0.5000 0.5000

[5]
Entry from the Alexandria database: a geometry-optimized SrZrHg2 structure (PBE).

Values from the calculation:
Symmetry   C2/m
DFT formation energy   -95 meV/atom

Cell lengths 4.9080, 4.9080, 7.0197 Å; angles 78.02, 78.02, 45.12 degrees
Atoms (fractional coordinates):
Sr1 0.7500 0.7500 0.7500
Hg1 0.9905 0.9905 0.0592
Hg2 0.5095 0.5095 0.4408
Zr1 0.2500 0.2500 0.2500

[6]
Entry from the Alexandria database: a geometry-optimized K2RePb structure (PBE).

Values from the calculation:
Symmetry   I-42d
DFT formation energy   1129 meV/atom

Cell lengths 12.7787, 12.7787, 9.4143 Å; angles 47.26, 47.26, 90.00 degrees
Atoms (fractional coordinates):
K1 0.8750 0.6983 0.7500
K2 0.3750 0.5517 0.7500
K3 0.4483 0.1250 0.2500
K4 0.3017 0.6250 0.2500
Pb1 0.0000 0.0000 0.0000
Pb2 0.7500 0.2500 0.5000
Re1 0.5000 0.5000 0.0000
Re2 0.2500 0.7500 0.5000

[7]
Entry from the Alexandria database: a geometry-optimized Ce2GaNiS5 structure (PBE).

Values from the calculation:
Formation energy (no corrections)   -1.32 eV per atom
Symmetry   Cmc2_1

Cell lengths 3.8533, 8.6441, 11.3734 Å; angles 90.00, 90.00, 102.88 degrees
Atoms (fractional coordinates):
S1 0.0420 0.0841 0.0581
S2 0.2942 0.5885 0.6502
S3 0.3589 0.7179 0.9878
S4 0.3148 0.6296 0.3342
S5 0.5010 0.0021 0.2793
S6 0.6852 0.3704 0.8342
S7 0.7058 0.4115 0.1502
S8 0.4990 0.9979 0.7793
S9 0.6411 0.2821 0.4878
S10 0.9580 0.9159 0.5581
Ga1 0.4240 0.8481 0.4528
Ga2 0.5760 0.1519 0.9528
Ce1 0.1190 0.2381 0.6724
Ce2 0.8810 0.7619 0.1724
Ce3 0.8664 0.7329 0.7943
Ce4 0.1336 0.2671 0.2943
Ni1 0.2515 0.5030 0.0948
Ni2 0.7485 0.4970 0.5948

[8]
Entry from the Alexandria database: a geometry-optimized Y2In2Re structure (PBE).

Values from the calculation:
Symmetry   I4/mmm
DFT formation energy   875 meV/atom
Energy above the lowest structure with this stoichiometry   3.927 eV per formula unit

Cell lengths 4.0709, 4.0709, 7.8262 Å; angles 74.93, 74.93, 90.00 degrees
Atoms (fractional coordinates):
Y1 0.7500 0.2500 0.5000
Y2 0.2500 0.7500 0.5000
Re1 0.0000 0.0000 0.0000
In1 0.5901 0.5901 0.8198
In2 0.4099 0.4099 0.1802

[9]
Entry from the Alexandria database: a geometry-optimized Sn2MoPN structure (PBE).

Values from the calculation:
Formation energy (no corrections)   1.69 eV per atom
Symmetry   P4/mmm

Cell lengths 5.1054, 4.4562, 5.1054 Å; angles 90.00, 90.00, 90.00 degrees
Atoms (fractional coordinates):
N1 0.5000 0.5000 0.5000
Mo1 0.0000 0.5000 0.0000
Sn1 0.0000 0.0000 0.5000
Sn2 0.5000 0.0000 0.0000
P1 0.0000 0.0000 0.0000

[10]
Entry from the Alexandria database: a geometry-optimized PrErOsAu structure (PBE).

Values from the calculation:
Symmetry   F-43m
DFT formation energy   -355 meV/atom

Cell lengths 5.0295, 5.0295, 5.0295 Å; angles 60.00, 60.00, 60.00 degrees
Atoms (fractional coordinates):
Pr1 0.2500 0.2500 0.2500
Au1 0.0000 0.0000 0.0000
Er1 0.7500 0.7500 0.7500
Os1 0.5000 0.5000 0.5000

[11]
Entry from the Alexandria database: a geometry-optimized LiIrRu structure (PBE).

Values from the calculation:
Symmetry   Amm2
DFT formation energy   18 meV/atom
Energy above the lowest structure with this stoichiometry   0.107 eV per formula unit

Cell lengths 2.6934, 2.6932, 13.4222 Å; angles 90.00, 90.00, 120.00 degrees
Atoms (fractional coordinates):
Ir1 0.6100 0.2200 0.0000
Ir2 0.2793 0.5587 0.5000
Li1 0.6120 0.2239 0.6626
Li2 0.6120 0.2239 0.3374
Ru1 0.2767 0.5534 0.8371
Ru2 0.2767 0.5534 0.1629

[12]
Entry from the Alexandria database: a geometry-optimized Ho7Er3Pu structure (PBE).

Values from the calculation:
Symmetry   P3m1
DFT formation energy   212 meV/atom

Cell lengths 8.4518, 6.9624, 6.9624 Å; angles 120.00, 90.00, 90.00 degrees
Atoms (fractional coordinates):
Ho1 0.1160 0.6667 0.3333
Ho2 0.1200 0.1691 0.8309
Ho3 0.1200 0.6619 0.8309
Ho4 0.4494 0.3353 0.1676
Ho5 0.1200 0.1691 0.3381
Ho6 0.4494 0.8324 0.6647
Ho7 0.4494 0.8324 0.1676
Er1 0.7802 0.4981 0.5019
Er2 0.7802 0.4981 0.9962
Er3 0.7802 0.0038 0.5019
Pu1 0.4505 0.3333 0.6667

Total magnetization, record by record: 0.000, 1.779, 0.000, 0.412, 0.000, 0.530, 0.115, 0.000, 0.000, 0.000, 0.000, 0.585 μB/atom